Entry 1:
An optimized crystal structure of PmDyCoPt, computed with PBE-GGA.

a b c (Å): 4.914 4.914 4.914
angles (deg): 60.00 60.00 60.00
Positions (direct):
Pm (0.000, 0.000, 0.000)
Dy (0.500, 0.500, 0.500)
Co (0.750, 0.750, 0.750)
Pt (0.250, 0.250, 0.250)

## Properties
M_tot = 0.339 μB per formula unit
Mass density = 11.1 Mg/m³
ΔH_f (0 K) = -13.3 kcal/mol of atoms



Entry 2:
An optimized crystal structure of MgSn3As, computed with PBE-GGA.

a b c (Å): 5.329 5.329 5.329
angles (deg): 90.00 90.00 90.00
Positions (direct):
Mg (0.000, 0.000, 0.000)
Sn (0.000, 0.000, 0.500)
Sn (0.000, 0.500, 0.000)
Sn (0.500, 0.000, 0.000)
As (0.500, 0.500, 0.500)

## Properties
M_tot = 0.000 μB per formula unit
Mass density = 5.0 Mg/m³
Energy above the most stable polymorph in this dataset = 15.5 kJ per mole of atoms
ΔH_f (0 K) = 14.0 kcal/mol of atoms



Entry 3:
An optimized crystal structure of SrAgP2, computed with PBE-GGA.

a b c (Å): 4.933 4.933 4.933
angles (deg): 60.00 60.00 60.00
Positions (direct):
Sr (0.000, 0.000, 0.000)
Ag (0.750, 0.750, 0.750)
P (0.250, 0.250, 0.250)
P (0.500, 0.500, 0.500)

## Properties
M_tot = 0.000 μB per formula unit
Mass density = 5.0 Mg/m³
ΔH_f (0 K) = 2.9 kcal/mol of atoms



Question: Look up the ΔH_f (0 K) of the third one.
Answer: 2.9 kcal/mol of atoms



Question: The lowest ΔH_f (0 K) belongs to which entry?
Answer: PmDyCoPt



Question: Among the records above, which one has the highest mass density?
Answer: PmDyCoPt



Question: The highest ΔH_f (0 K) belongs to which entry?
Answer: MgSn3As